No. 1
Hg5Pb, optimized geometry, DFT PBE-GGA; excess energy over the best structure of this formula in the dataset = 0.121 eV/atom; ρ = 11.81 Mg/m³; formation energy from the elements = 143 meV per atom
1.0
0.7876 1.6369 -5.6818
-5.3299 -1.9573 1.8286
-1.4561 5.1673 1.2869
Hg Pb
5 1
direct
0.3333 0.6667 0.0000
0.6667 0.3333 0.0000
0.5000 0.0000 0.5000
0.0000 0.5000 0.5000
0.5000 0.5000 0.5000
0.0000 0.0000 0.0000

No. 2
Ir5Ru4Pt, optimized geometry, DFT PBE-GGA; ρ = 18.01 Mg/m³; formation energy from the elements = -23 meV per atom
1.0
-1.6054 -0.9404 -1.9887
-1.1651 -1.7248 1.7562
-13.2911 13.4339 4.3763
Ir Ru Pt
5 4 1
direct
0.5000 0.5000 0.1068
0.5000 0.5000 0.3028
0.5000 0.5000 0.5000
0.5000 0.5000 0.6972
0.5000 0.5000 0.8932
0.0000 0.0000 0.2013
0.0000 0.0000 0.4008
0.0000 0.0000 0.5992
0.0000 0.0000 0.7987
0.0000 0.0000 0.0000

No. 3
CaVSBr2, optimized geometry, DFT PBE-GGA; ρ = 2.93 Mg/m³; formation energy without anion corrections = -0.269 eV/atom
1.0
-2.5995 2.0552 4.3095
-1.5489 -5.0045 1.4523
4.4999 -0.5315 2.9678
Ca S Br V
1 1 2 1
direct
0.0000 0.0000 0.0000
0.0000 0.0000 0.5000
0.0000 0.5000 0.0000
0.5000 0.0000 0.0000
0.5000 0.5000 0.5000

No. 4
Zr2Ti5Co2Ni, optimized geometry, DFT PBE-GGA; ρ = 6.10 Mg/m³; formation energy from the elements = -260 meV per atom
1.0
-1.2136 1.1458 -2.5404
4.2226 -7.6958 -5.4884
-8.5007 -5.7204 1.4808
Zr Ti Co Ni
4 10 4 2
direct
0.0000 0.6773 0.1773
0.0000 0.3227 0.8227
0.0000 0.1773 0.3227
0.0000 0.8227 0.6773
0.5000 0.2001 0.0561
0.5000 0.7999 0.9439
0.5000 0.0561 0.7999
0.5000 0.7001 0.4439
0.5000 0.9439 0.2001
0.5000 0.2999 0.5561
0.5000 0.5561 0.7001
0.5000 0.4439 0.2999
0.5000 0.5000 0.0000
0.5000 0.0000 0.5000
0.0000 0.1302 0.6302
0.0000 0.8698 0.3698
0.0000 0.6302 0.8698
0.0000 0.3698 0.1302
0.0000 0.0000 0.0000
0.0000 0.5000 0.5000

How do the records compare in DOS at the Fermi energy? In the order shown, they have 2.74; 9.49; 2.10; 22.82 states/eV per cell.